[1]
# YPtPb2 | Alexandria via LeMat-Bulk | PBEsol | relaxed
data_YPtPb2
_cell_length_a 4.702
_cell_length_b 4.588
_cell_length_c 4.739
_cell_angle_alpha 90.00
_cell_angle_beta 101.39
_cell_angle_gamma 90.00
_symmetry_space_group_name_H-M 'P 1 2/m 1'
_symmetry_Int_Tables_number 10
loop_
_symmetry_equiv_pos_as_xyz
'x,y,z'
'-x,-y,-z'
'-x,y,-z'
'x,-y,z'
loop_
_atom_site_label
_atom_site_type_symbol
_atom_site_fract_x
_atom_site_fract_y
_atom_site_fract_z
_atom_site_occupancy
Y1 Y 0.000 0.000 0.000 1
Pt1 Pt 0.500 0.000 0.500 1
Pb1 Pb 0.290 0.500 0.710 1
# Density, g/cm³: 11.6
# V, Å³ per atom: 25.1
# Formation enthalpy at 0 K, eV/atom: -0.39


[2]
# YPt4Pb | Alexandria via LeMat-Bulk | PBEsol | relaxed
data_YPt4Pb
_cell_length_a 7.591
_cell_length_b 7.591
_cell_length_c 7.591
_cell_angle_alpha 90.00
_cell_angle_beta 90.00
_cell_angle_gamma 90.00
_symmetry_space_group_name_H-M 'F -4 3 m'
_symmetry_Int_Tables_number 216
_symmetry_space_group_name_Hall 'F -4 2 3'
loop_
_atom_site_label
_atom_site_type_symbol
_atom_site_fract_x
_atom_site_fract_y
_atom_site_fract_z
_atom_site_occupancy
Y1 Y 0.000 0.000 0.000 1
Pt1 Pt 0.125 0.125 0.625 1
Pb1 Pb 0.250 0.250 0.250 1
# Density, g/cm³: 16.3
# V, Å³ per atom: 18.2
# Formation enthalpy at 0 K, eV/atom: -0.69


[3]
# YPtPb2 | Alexandria via LeMat-Bulk | PBEsol | relaxed
data_YPtPb2
_cell_length_a 7.146
_cell_length_b 7.146
_cell_length_c 7.146
_cell_angle_alpha 90.00
_cell_angle_beta 90.00
_cell_angle_gamma 90.00
_symmetry_space_group_name_H-M 'F m -3 m'
_symmetry_Int_Tables_number 225
_symmetry_space_group_name_Hall '-F 4 2 3'
loop_
_atom_site_label
_atom_site_type_symbol
_atom_site_fract_x
_atom_site_fract_y
_atom_site_fract_z
_atom_site_occupancy
Y1 Y 0.000 0.000 0.000 1
Pt1 Pt 0.000 0.000 0.500 1
Pb1 Pb 0.250 0.250 0.250 1
# Density, g/cm³: 12.7
# V, Å³ per atom: 22.8
# Formation enthalpy at 0 K, eV/atom: -0.25


[4]
# YPtPb2 | Alexandria via LeMat-Bulk | PBEsol | relaxed
data_YPtPb2
_cell_length_a 5.984
_cell_length_b 6.112
_cell_length_c 10.976
_cell_angle_alpha 90.00
_cell_angle_beta 90.00
_cell_angle_gamma 90.00
_symmetry_space_group_name_H-M 'F m m m'
_symmetry_Int_Tables_number 69
_symmetry_space_group_name_Hall '-F 2 2'
loop_
_atom_site_label
_atom_site_type_symbol
_atom_site_fract_x
_atom_site_fract_y
_atom_site_fract_z
_atom_site_occupancy
Y1 Y 0.000 0.000 0.000 1
Pt1 Pt 0.000 0.000 0.500 1
Pb1 Pb 0.000 0.250 0.250 1
# Density, g/cm³: 11.6
# V, Å³ per atom: 25.1
# Formation enthalpy at 0 K, eV/atom: -0.27


[5]
# ZnPt2Pb | Alexandria via LeMat-Bulk | PBEsol | relaxed
data_ZnPt2Pb
_cell_length_a 3.011
_cell_length_b 4.083
_cell_length_c 6.113
_cell_angle_alpha 90.00
_cell_angle_beta 104.12
_cell_angle_gamma 90.00
_symmetry_space_group_name_H-M 'P 1 m 1'
_symmetry_Int_Tables_number 6
loop_
_symmetry_equiv_pos_as_xyz
'x,y,z'
'x,-y,z'
loop_
_atom_site_label
_atom_site_type_symbol
_atom_site_fract_x
_atom_site_fract_y
_atom_site_fract_z
_atom_site_occupancy
Zn1 Zn 0.000 0.000 0.000 1
Pt1 Pt 0.314 0.000 0.628 1
Pt2 Pt 0.475 0.500 0.949 1
Pb1 Pb 0.707 0.500 0.412 1
# Density, g/cm³: 15.1
# V, Å³ per atom: 18.2
# Formation enthalpy at 0 K, eV/atom: -0.15


[6]
# Zn2Pt2Pb | Alexandria via LeMat-Bulk | PBEsol | relaxed
data_Zn2Pt2Pb
_cell_length_a 3.730
_cell_length_b 3.730
_cell_length_c 12.591
_cell_angle_alpha 90.00
_cell_angle_beta 90.00
_cell_angle_gamma 90.00
_symmetry_space_group_name_H-M 'I 4/m m m'
_symmetry_Int_Tables_number 139
_symmetry_space_group_name_Hall '-I 4 2'
loop_
_atom_site_label
_atom_site_type_symbol
_atom_site_fract_x
_atom_site_fract_y
_atom_site_fract_z
_atom_site_occupancy
Zn1 Zn 0.000 0.500 0.250 1
Pt1 Pt 0.000 0.000 0.109 1
Pb1 Pb 0.000 0.000 0.500 1
# Density, g/cm³: 13.8
# V, Å³ per atom: 17.5
# Formation enthalpy at 0 K, eV/atom: -0.26


[7]
# ZrPt2Pb | Alexandria via LeMat-Bulk | PBEsol | relaxed
data_ZrPt2Pb
_cell_length_a 3.5944
_cell_length_b 3.5944
_cell_length_c 22.5025
_cell_angle_alpha 90.00
_cell_angle_beta 90.00
_cell_angle_gamma 120.00
_symmetry_space_group_name_H-M 'R -3 m'
_symmetry_Int_Tables_number 166
_symmetry_space_group_name_Hall '-R 3 2"'
loop_
_atom_site_label
_atom_site_type_symbol
_atom_site_fract_x
_atom_site_fract_y
_atom_site_fract_z
_atom_site_occupancy
Zr1 Zr 0.0000 0.0000 0.0000 1
Pt1 Pt 0.0000 0.0000 0.2574 1
Pb1 Pb 0.0000 0.0000 0.5000 1
# Density, g/cm³: 13.6
# V, Å³ per atom: 21.0
# Formation enthalpy at 0 K, eV/atom: -0.42


[8]
# ZrPtPb2 | Alexandria via LeMat-Bulk | PBEsol | relaxed
data_ZrPtPb2
_cell_length_a 4.557
_cell_length_b 4.557
_cell_length_c 4.060
_cell_angle_alpha 90.00
_cell_angle_beta 90.00
_cell_angle_gamma 90.00
_symmetry_space_group_name_H-M 'P 4/m m m'
_symmetry_Int_Tables_number 123
_symmetry_space_group_name_Hall '-P 4 2'
loop_
_atom_site_label
_atom_site_type_symbol
_atom_site_fract_x
_atom_site_fract_y
_atom_site_fract_z
_atom_site_occupancy
Zr1 Zr 0.000 0.000 0.000 1
Pt1 Pt 0.500 0.500 0.000 1
Pb1 Pb 0.000 0.500 0.500 1
# Density, g/cm³: 13.8
# V, Å³ per atom: 21.1
# Formation enthalpy at 0 K, eV/atom: -0.18


[9]
# ZrPtPb2 | Alexandria via LeMat-Bulk | PBEsol | relaxed
data_ZrPtPb2
_cell_length_a 6.990
_cell_length_b 6.990
_cell_length_c 6.990
_cell_angle_alpha 90.00
_cell_angle_beta 90.00
_cell_angle_gamma 90.00
_symmetry_space_group_name_H-M 'F m -3 m'
_symmetry_Int_Tables_number 225
_symmetry_space_group_name_Hall '-F 4 2 3'
loop_
_atom_site_label
_atom_site_type_symbol
_atom_site_fract_x
_atom_site_fract_y
_atom_site_fract_z
_atom_site_occupancy
Zr1 Zr 0.000 0.000 0.000 1
Pt1 Pt 0.000 0.000 0.500 1
Pb1 Pb 0.250 0.250 0.250 1
# Density, g/cm³: 13.6
# V, Å³ per atom: 21.3
# Formation enthalpy at 0 K, eV/atom: 0.06


[10]
# ZrPtPb2 | Alexandria via LeMat-Bulk | PBEsol | relaxed
data_ZrPtPb2
_cell_length_a 3.309
_cell_length_b 4.473
_cell_length_c 5.944
_cell_angle_alpha 90.00
_cell_angle_beta 96.09
_cell_angle_gamma 90.00
_symmetry_space_group_name_H-M 'P 1 2/m 1'
_symmetry_Int_Tables_number 10
loop_
_symmetry_equiv_pos_as_xyz
'x,y,z'
'-x,-y,-z'
'-x,y,-z'
'x,-y,z'
loop_
_atom_site_label
_atom_site_type_symbol
_atom_site_fract_x
_atom_site_fract_y
_atom_site_fract_z
_atom_site_occupancy
Zr1 Zr 0.000 0.000 0.000 1
Pt1 Pt 0.500 0.000 0.500 1
Pb1 Pb 0.327 0.500 0.743 1
# Density, g/cm³: 13.3
# V, Å³ per atom: 21.9
# Formation enthalpy at 0 K, eV/atom: -0.07


[11]
# Zr3PtPb | Alexandria via LeMat-Bulk | PBEsol | relaxed
data_Zr3PtPb
_cell_length_a 5.202
_cell_length_b 5.202
_cell_length_c 5.202
_cell_angle_alpha 90.00
_cell_angle_beta 90.00
_cell_angle_gamma 90.00
_symmetry_space_group_name_H-M 'P m -3 m'
_symmetry_Int_Tables_number 221
_symmetry_space_group_name_Hall '-P 4 2 3'
loop_
_atom_site_label
_atom_site_type_symbol
_atom_site_fract_x
_atom_site_fract_y
_atom_site_fract_z
_atom_site_occupancy
Zr1 Zr 0.000 0.000 0.500 1
Pt1 Pt 0.500 0.500 0.500 1
Pb1 Pb 0.000 0.000 0.000 1
# Density, g/cm³: 8.0
# V, Å³ per atom: 28.2
# Formation enthalpy at 0 K, eV/atom: 1.37


[12]
# ZrPt2Pb | Alexandria via LeMat-Bulk | PBEsol | relaxed
data_ZrPt2Pb
_cell_length_a 3.506
_cell_length_b 3.506
_cell_length_c 6.268
_cell_angle_alpha 90.00
_cell_angle_beta 90.00
_cell_angle_gamma 90.00
_symmetry_space_group_name_H-M 'P 4 m m'
_symmetry_Int_Tables_number 99
loop_
_symmetry_equiv_pos_as_xyz
'x,y,z'
'-y,x,z'
'-x,-y,z'
'y,-x,z'
'-x,y,z'
'y,x,z'
'x,-y,z'
'-y,-x,z'
loop_
_atom_site_label
_atom_site_type_symbol
_atom_site_fract_x
_atom_site_fract_y
_atom_site_fract_z
_atom_site_occupancy
Zr1 Zr 0.000 0.000 0.000 1
Pt1 Pt 0.000 0.000 0.569 1
Pt2 Pt 0.500 0.500 0.812 1
Pb1 Pb 0.500 0.500 0.343 1
# Density, g/cm³: 14.8
# V, Å³ per atom: 19.3
# Formation enthalpy at 0 K, eV/atom: -0.43


Repeat the fourth record exactly.
# YPtPb2 | Alexandria via LeMat-Bulk | PBEsol | relaxed
data_YPtPb2
_cell_length_a 5.984
_cell_length_b 6.112
_cell_length_c 10.976
_cell_angle_alpha 90.00
_cell_angle_beta 90.00
_cell_angle_gamma 90.00
_symmetry_space_group_name_H-M 'F m m m'
_symmetry_Int_Tables_number 69
_symmetry_space_group_name_Hall '-F 2 2'
loop_
_atom_site_label
_atom_site_type_symbol
_atom_site_fract_x
_atom_site_fract_y
_atom_site_fract_z
_atom_site_occupancy
Y1 Y 0.000 0.000 0.000 1
Pt1 Pt 0.000 0.000 0.500 1
Pb1 Pb 0.000 0.250 0.250 1
# Density, g/cm³: 11.6
# V, Å³ per atom: 25.1
# Formation enthalpy at 0 K, eV/atom: -0.27


- The highest density belongs to which entry?
  YPt4Pb


- density of number 8 (ZrPtPb2)?
  13.8 g/cm³


What did the first record say?
# YPtPb2 | Alexandria via LeMat-Bulk | PBEsol | relaxed
data_YPtPb2
_cell_length_a 4.702
_cell_length_b 4.588
_cell_length_c 4.739
_cell_angle_alpha 90.00
_cell_angle_beta 101.39
_cell_angle_gamma 90.00
_symmetry_space_group_name_H-M 'P 1 2/m 1'
_symmetry_Int_Tables_number 10
loop_
_symmetry_equiv_pos_as_xyz
'x,y,z'
'-x,-y,-z'
'-x,y,-z'
'x,-y,z'
loop_
_atom_site_label
_atom_site_type_symbol
_atom_site_fract_x
_atom_site_fract_y
_atom_site_fract_z
_atom_site_occupancy
Y1 Y 0.000 0.000 0.000 1
Pt1 Pt 0.500 0.000 0.500 1
Pb1 Pb 0.290 0.500 0.710 1
# Density, g/cm³: 11.6
# V, Å³ per atom: 25.1
# Formation enthalpy at 0 K, eV/atom: -0.39